1.
An optimized crystal structure of CePm2DyTl4, computed with GGA-PBE.

Calculated values
Space-group type: R-3m (166)
Calculated density (Mg/m³): 10.1
E_form (eV per atom): -0.32
DOS(E_F) (states/eV per atom): 1.692

Cell lengths 9.508, 9.508, 9.508 Å; angles 33.39, 33.39, 33.39 degrees
Fractional positions:
Ce 0.000 0.000 0.000
Pm 0.249 0.249 0.249
Pm 0.751 0.751 0.751
Dy 0.500 0.500 0.500
Tl 0.126 0.126 0.126
Tl 0.376 0.376 0.376
Tl 0.624 0.624 0.624
Tl 0.874 0.874 0.874

=====

2.
An optimized crystal structure of La6Co2PdCl3, computed with GGA-PBE.

Calculated values
Formation energy (no corrections) (meV per atom): -1024
Space-group type: C2/m (12)
Calculated density (Mg/m³): 5.7
DOS(E_F) (states/eV per atom): 0.570

Cell lengths 9.821, 9.821, 9.030 Å; angles 109.81, 109.81, 24.30 degrees
Fractional positions:
La 0.018 0.018 0.241
La 0.320 0.320 0.442
La 0.337 0.337 0.879
La 0.663 0.663 0.121
La 0.680 0.680 0.558
La 0.982 0.982 0.759
Co 0.167 0.167 0.334
Co 0.833 0.833 0.666
Pd 0.500 0.500 0.000
Cl 0.167 0.167 0.834
Cl 0.500 0.500 0.500
Cl 0.833 0.833 0.166

=====

3.
An optimized crystal structure of SmIn2Cu9, computed with GGA-PBE.

Calculated values
Space-group type: R-3m (166)
Calculated density (Mg/m³): 8.7
E_form (eV per atom): -0.13
E above lowest polymorph (meV/atom): 3
DOS(E_F) (states/eV per atom): 0.317

Cell lengths 8.675, 8.675, 8.675 Å; angles 34.00, 34.00, 34.00 degrees
Fractional positions:
Sm 0.000 0.000 0.000
In 0.141 0.141 0.141
In 0.859 0.859 0.859
Cu 0.081 0.586 0.586
Cu 0.334 0.334 0.334
Cu 0.414 0.414 0.919
Cu 0.414 0.919 0.414
Cu 0.500 0.500 0.500
Cu 0.586 0.081 0.586
Cu 0.586 0.586 0.081
Cu 0.666 0.666 0.666
Cu 0.919 0.414 0.414

=====

4.
An optimized crystal structure of Er4RuI2, computed with GGA-PBE.

Calculated values
Formation energy (no corrections) (meV per atom): -553
Space-group type: P2/m (10)
Calculated density (Mg/m³): 6.2
DOS(E_F) (states/eV per atom): 0.525

Cell lengths 6.152, 4.032, 11.073 Å; angles 90.00, 92.92, 90.00 degrees
Fractional positions:
Er 0.138 0.000 0.362
Er 0.353 0.500 0.632
Er 0.647 0.500 0.368
Er 0.862 0.000 0.638
Ru 0.500 0.000 0.500
I 0.262 0.500 0.152
I 0.738 0.500 0.848

=====

5.
An optimized crystal structure of Nd2Dy3Hg2, computed with GGA-PBE.

Calculated values
Space-group type: C2/m (12)
Calculated density (Mg/m³): 9.1
E_form (eV per atom): -0.20
E above lowest polymorph (meV/atom): 8
DOS(E_F) (states/eV per atom): 1.312

Cell lengths 6.413, 6.413, 8.333 Å; angles 113.23, 113.23, 43.68 degrees
Fractional positions:
Nd 0.133 0.133 0.286
Nd 0.867 0.867 0.714
Dy 0.371 0.371 0.044
Dy 0.500 0.500 0.500
Dy 0.629 0.629 0.956
Hg 0.153 0.153 0.699
Hg 0.847 0.847 0.301

=====

6.
An optimized crystal structure of Tm3InSe, computed with GGA-PBE.

Calculated values
Formation energy (no corrections) (meV per atom): -717
Space-group type: P2_1/c (14)
Calculated density (Mg/m³): 8.5
E above lowest polymorph (meV/atom): 138
DOS(E_F) (states/eV per atom): 0.704

Cell lengths 9.049, 6.520, 10.193 Å; angles 90.00, 113.90, 90.00 degrees
Fractional positions:
Tm 0.063 0.092 0.332
Tm 0.063 0.408 0.832
Tm 0.217 0.581 0.541
Tm 0.217 0.919 0.041
Tm 0.385 0.126 0.806
Tm 0.385 0.374 0.306
Tm 0.615 0.626 0.694
Tm 0.615 0.874 0.194
Tm 0.783 0.081 0.959
Tm 0.783 0.419 0.459
Tm 0.937 0.592 0.168
Tm 0.937 0.908 0.668
In 0.392 0.656 0.880
In 0.392 0.844 0.380
In 0.608 0.156 0.620
In 0.608 0.344 0.120
Se 0.084 0.231 0.594
Se 0.084 0.269 0.094
Se 0.916 0.731 0.906
Se 0.916 0.769 0.406

=====

7.
An optimized crystal structure of Ba2GaSbSe5, computed with GGA-PBE.

Calculated values
Formation energy (no corrections) (meV per atom): -1221
Space-group type: Pnma (62)
Calculated density (Mg/m³): 5.1
E above lowest polymorph (meV/atom): 0
DOS(E_F) (states/eV per atom): 0.000

Cell lengths 12.904, 9.213, 9.502 Å; angles 90.00, 90.00, 90.00 degrees
Fractional positions:
Ba 0.175 0.006 0.125
Ba 0.175 0.494 0.125
Ba 0.325 0.506 0.625
Ba 0.325 0.994 0.625
Ba 0.675 0.006 0.375
Ba 0.675 0.494 0.375
Ba 0.825 0.506 0.875
Ba 0.825 0.994 0.875
Ga 0.097 0.750 0.832
Ga 0.403 0.250 0.332
Ga 0.597 0.750 0.668
Ga 0.903 0.250 0.168
Sb 0.028 0.750 0.481
Sb 0.472 0.250 0.981
Sb 0.528 0.750 0.019
Sb 0.972 0.250 0.519
Se 0.009 0.250 0.964
Se 0.058 0.542 0.676
Se 0.058 0.958 0.676
Se 0.217 0.750 0.384
Se 0.222 0.250 0.388
Se 0.278 0.750 0.888
Se 0.283 0.250 0.884
Se 0.442 0.042 0.176
Se 0.442 0.458 0.176
Se 0.491 0.750 0.464
Se 0.509 0.250 0.536
Se 0.558 0.542 0.824
Se 0.558 0.958 0.824
Se 0.717 0.750 0.116
Se 0.722 0.250 0.112
Se 0.778 0.750 0.612
Se 0.783 0.250 0.616
Se 0.942 0.042 0.324
Se 0.942 0.458 0.324
Se 0.991 0.750 0.036

=====

8.
An optimized crystal structure of LiAlRu, computed with GGA-PBE.

Calculated values
Space-group type: F-43m (216)
Calculated density (Mg/m³): 4.6
E_form (eV per atom): 0.24
DOS(E_F) (states/eV per atom): 0.655

Cell lengths 4.109, 4.109, 4.109 Å; angles 60.00, 60.00, 60.00 degrees
Fractional positions:
Li 0.000 0.000 0.000
Al 0.500 0.500 0.500
Ru 0.250 0.250 0.250

=====

9.
An optimized crystal structure of SrHgW, computed with GGA-PBE.

Calculated values
Space-group type: P-6m2 (187)
Calculated density (Mg/m³): 11.2
E_form (eV per atom): 0.97
E above lowest polymorph (meV/atom): 148
DOS(E_F) (states/eV per atom): 1.226

Cell lengths 5.204, 5.204, 2.988 Å; angles 90.00, 90.00, 120.00 degrees
Fractional positions:
Sr 0.000 0.000 0.000
Hg 0.333 0.667 0.500
W 0.667 0.333 0.500

=====

10.
An optimized crystal structure of PuAg2SbSe4, computed with GGA-PBE.

Calculated values
Formation energy (no corrections) (meV per atom): -530
Space-group type: P2/m (10)
Calculated density (Mg/m³): 7.6
DOS(E_F) (states/eV per atom): 1.443

Cell lengths 6.834, 4.219, 7.293 Å; angles 90.00, 111.77, 90.00 degrees
Fractional positions:
Pu 0.000 0.000 0.000
Ag 0.500 0.000 0.500
Ag 0.500 0.500 0.000
Sb 0.000 0.500 0.500
Se 0.249 0.500 0.254
Se 0.256 0.000 0.752
Se 0.744 0.000 0.248
Se 0.751 0.500 0.746

=====

11.
An optimized crystal structure of Tb2ErTl, computed with GGA-PBE.

Calculated values
Space-group type: Fm-3m (225)
Calculated density (Mg/m³): 9.9
E_form (eV per atom): -0.04
E above lowest polymorph (meV/atom): 141
DOS(E_F) (states/eV per atom): 1.401

Cell lengths 5.466, 5.466, 5.466 Å; angles 60.00, 60.00, 60.00 degrees
Fractional positions:
Tb 0.250 0.250 0.250
Tb 0.750 0.750 0.750
Er 0.000 0.000 0.000
Tl 0.500 0.500 0.500

=====

12.
An optimized crystal structure of TiAgHg3, computed with GGA-PBE.

Calculated values
Space-group type: Pm-3m (221)
Calculated density (Mg/m³): 8.2
E_form (eV per atom): 0.65
E above lowest polymorph (meV/atom): 0
DOS(E_F) (states/eV per atom): 1.047

Cell lengths 5.347, 5.347, 5.347 Å; angles 90.00, 90.00, 90.00 degrees
Fractional positions:
Ti 0.000 0.000 0.000
Ag 0.500 0.500 0.500
Hg 0.000 0.000 0.500
Hg 0.000 0.500 0.000
Hg 0.500 0.000 0.000

=====

- What is the calculated density in the second record?
  5.7 Mg/m³

=====

- calculated density of number 4 (Er4RuI2)?
  6.2 Mg/m³